{
  "formula": "NaLi6Hg12",
  "functional": "PBE-GGA",
  "state": "relaxed",
  "lattice_angstrom": [[-2.848, -3.554, 6.726], [-5.226, -1.623, -6.003], [7.034, -3.610, -1.862]],
  "species": ["Hg", "Li", "Hg", "Hg", "Li", "Hg", "Li", "Na", "Hg", "Li", "Li", "Hg", "Hg", "Hg", "Hg", "Hg", "Hg", "Hg", "Li"],
  "fractional_positions": [[0.859, 0.618, 0.618], [0.288, 0.708, 0.288], [0.116, 0.500, 0.884], [0.382, 0.141, 0.382], [0.708, 0.288, 0.288], [0.884, 0.500, 0.116], [0.288, 0.288, 0.708], [0.000, 0.000, 0.000], [0.500, 0.884, 0.116], [0.292, 0.712, 0.712], [0.712, 0.712, 0.292], [0.382, 0.382, 0.141], [0.618, 0.859, 0.618], [0.116, 0.884, 0.500], [0.884, 0.116, 0.500], [0.500, 0.116, 0.884], [0.618, 0.618, 0.859], [0.141, 0.382, 0.382], [0.712, 0.292, 0.712]],
  "magmom_total_mub_per_fu": 0.0,
  "dos_at_fermi_per_ev_cell": 8.51,
  "e_form_ev_per_atom": -0.20
}